Entry 1:
VASP calculation (PBE) on InBOF2 after structural relaxation. Values from VASP.

Geometry as Quantum ESPRESSO input:
```
&SYSTEM
  ibrav = 0, nat = 5, ntyp = 4
/
ATOMIC_SPECIES
In 114.82 In.upf
B 10.81 B.upf
O 16.00 O.upf
F 19.00 F.upf
ATOMIC_POSITIONS crystal
In 0.0000 0.0000 0.0000
B 0.5000 0.5000 0.5000
O 0.5000 0.5000 0.0000
F 0.0000 0.5000 0.5000
F 0.5000 0.0000 0.5000
CELL_PARAMETERS angstrom
4.7144 0.0000 0.0000
0.0000 4.7144 0.0000
0.0000 0.0000 2.7003
```

Results
For the uncorrected formation energy, the calculation gives -1454.6 meV/atom. Its volume is 60.02 Å³/cell. Its total magnetic moment is 0.00 Bohr magnetons per cell. The calculated total energy is -5.078 eV per atom.

***

Entry 2:
VASP calculation (PBE) on SrPCl2 after structural relaxation. Values from VASP.

Geometry as Quantum ESPRESSO input:
```
&SYSTEM
  ibrav = 0, nat = 4, ntyp = 3
/
ATOMIC_SPECIES
Sr 87.62 Sr.upf
P 30.97 P.upf
Cl 35.45 Cl.upf
ATOMIC_POSITIONS crystal
Sr 0.0000 0.0000 0.0000
P 0.5000 0.5000 0.5000
Cl 0.2821 0.2821 0.2821
Cl 0.7179 0.7179 0.7179
CELL_PARAMETERS angstrom
2.7390 1.5814 3.6722
-2.7390 1.5814 3.6722
0.0000 -3.1627 3.6722
```

Results
For the energy relative to the lowest polymorph listed for this composition, the calculation gives 0.43 eV per formula unit. For the uncorrected formation energy, the calculation gives -965.9 meV/atom. Its volume is 95.43 Å³/cell. Its total magnetic moment is 0.41 Bohr magnetons per cell. The calculated total energy is -3.662 eV per atom.